First-principles (PBE) data for Na2RhI after structural relaxation, as listed in the Alexandria database.

Computed properties:
formation energy from raw total energies = 0.18 eV per atom
calculated total energy = -2.70 eV/atom
mass density = 4.9 Mg/m³
polymorph energy (0 for the lowest one) = 0.242 eV per atom

a b c (Å): 5.0989 5.0989 5.0989
angles (deg): 60.00 60.00 60.00
Closest atoms and distances in Å follow each position.
Atoms (fractional coordinates):
Na1 0.2500 0.2500 0.2500  4 I 3.12, 4 Rh 3.12
Na2 0.7500 0.7500 0.7500  4 I 3.12, 4 Rh 3.12
I1 0.5000 0.5000 0.5000  8 Na 3.12
Rh1 0.0000 0.0000 0.0000  8 Na 3.12


First-principles (PBE) data for SnP2SN after structural relaxation, as listed in the Alexandria database.

Computed properties:
formation energy from raw total energies = 0.86 eV per atom
calculated total energy = -4.59 eV/atom
mass density = 4.9 Mg/m³
polymorph energy (0 for the lowest one) = 0.000 eV per atom

a b c (Å): 4.1835 4.1835 4.4211
angles (deg): 90.00 90.00 90.00
Closest atoms and distances in Å follow each position.
Atoms (fractional coordinates):
P1 0.5000 0.0000 0.0000  2 N 2.09
P2 0.0000 0.5000 0.0000  2 N 2.09
S1 0.0000 0.0000 0.5000  2 N 2.21
Sn1 0.5000 0.5000 0.5000  4 S 2.96, 8 P 3.04
N1 0.0000 0.0000 0.0000  4 P 2.09, 2 S 2.21